Record 1
VASP calculation (PBE) on a relaxed structure of HRh2N.

Values from the calculation:
Mass density   9.56 g/cm3
E   -22.92 eV for the cell shown
Offset from the most stable computed form   661 meV per atom
Fermi-level density of states   0.48 states/eV/atom

The structure in extended XYZ format:
```
4
Lattice="0.0000 2.6767 2.6767 2.6767 0.0000 2.6767 2.6767 2.6767 0.0000" Properties=species:S:1:pos:R:3 pbc="T T T"
N 2.6767 2.6767 2.6767
Rh 1.3383 1.3383 1.3383
H 0.0000 0.0000 0.0000
Rh 4.0150 4.0150 4.0150
```

---

Record 2
VASP calculation (PBE) on a relaxed structure of HRhN2.

Values from the calculation:
Mass density   5.84 g/cm3
E   -24.87 eV for the cell shown
Offset from the most stable computed form   0 meV per atom
Fermi-level density of states   0.79 states/eV/atom

The structure in extended XYZ format:
```
4
Lattice="1.9780 -3.7362 2.3163 4.2519 -1.9576 1.1513 2.7957 -1.1064 3.7678" Properties=species:S:1:pos:R:3 pbc="T T T"
Rh 4.5128 -3.4001 3.6177
H 0.0000 0.0000 0.0000
N 0.8425 -0.6347 0.6754
N 8.1832 -6.1654 6.5600
```

---

Record 3
VASP calculation (PBE) on a relaxed structure of H3RhN.

Values from the calculation:
Mass density   6.43 g/cm3
E   -19.88 eV for the cell shown
Offset from the most stable computed form   0 meV per atom
Fermi-level density of states   0.45 states/eV/atom

The structure in extended XYZ format:
```
5
Lattice="-1.3931 -2.2735 -1.6606 2.5648 -1.7890 0.2976 -1.1612 -1.2239 2.6497" Properties=species:S:1:pos:R:3 pbc="T T T"
N 0.0000 0.0000 0.0000
Rh 0.0052 -2.6432 0.6434
H -0.5806 -0.6119 1.3249
H 1.2824 -0.8945 0.1488
H -0.6966 -1.1368 -0.8303
```

---

Record 4
VASP calculation (PBE) on a relaxed structure of HRhN2.

Values from the calculation:
Mass density   5.83 g/cm3
E   -45.51 eV for the cell shown
Offset from the most stable computed form   528 meV per atom
Fermi-level density of states   0.45 states/eV/atom

The structure in extended XYZ format:
```
8
Lattice="-1.5048 3.7914 0.8488 -3.8848 -1.4548 -0.3887 -2.7543 0.2007 4.4465" Properties=species:S:1:pos:R:3 pbc="T T T"
N -6.6470 2.2454 3.7510
H -4.6669 -0.0429 2.1439
Rh -3.4769 2.5802 2.7627
N -4.2214 0.9763 3.4939
Rh 0.0000 0.0000 0.0000
H -2.6948 1.1683 0.2301
N -2.0625 2.1066 1.5641
N -3.3568 -0.2538 1.0042
```